Here is a relaxed TbHgBr6 crystal from Alexandria. Energies are from PBE-GGA.

Properties
spin magnetization = 1.04 μB/f.u.
formation energy from raw total energies = -0.948 eV per atom
electronic total energy = -22.554 eV/cell

Cell lengths 7.1131, 7.1442, 7.2965 Å; angles 61.32, 66.42, 87.21 degrees
Sites, in units of the cell vectors:
Tb 0.0000 0.0000 0.0000
Hg 0.5000 0.5000 0.0000
Br 0.0488 0.1725 0.5404
Br 0.2332 0.3961 0.8096
Br 0.4100 0.8802 0.8558
Br 0.5900 0.1198 0.1442
Br 0.7668 0.6039 0.1904
Br 0.9512 0.8275 0.4596

---

Here is a relaxed Tb2HgBr2 crystal from Alexandria. Energies are from PBE-GGA.

Properties
spin magnetization = 0.00 μB/f.u.
formation energy from raw total energies = -1.178 eV per atom
electronic total energy = -18.800 eV/cell

Cell lengths 11.5700, 11.5700, 11.5700 Å; angles 20.07, 20.07, 20.07 degrees
Sites, in units of the cell vectors:
Tb 0.1088 0.1088 0.1088
Tb 0.8912 0.8912 0.8912
Hg 0.5000 0.5000 0.5000
Br 0.2780 0.2780 0.2780
Br 0.7220 0.7220 0.7220

---

Here is a relaxed TbHgBr crystal from Alexandria. Energies are from PBE-GGA.

Properties
spin magnetization = 0.00 μB/f.u.
formation energy from raw total energies = -0.861 eV per atom
electronic total energy = -18.374 eV/cell

Cell lengths 6.6076, 3.9069, 7.3796 Å; angles 90.00, 102.96, 90.00 degrees
Sites, in units of the cell vectors:
Tb 0.0039 0.2500 0.2200
Tb 0.9961 0.7500 0.7800
Hg 0.3304 0.2500 0.9824
Hg 0.6696 0.7500 0.0176
Br 0.2400 0.7500 0.4870
Br 0.7600 0.2500 0.5130

---

Here is a relaxed TcHgBr2 crystal from Alexandria. Energies are from PBE-GGA.

Properties
spin magnetization = 1.03 μB/f.u.
offset from the most stable computed form = 43 kJ/mol of formula units
formation energy from raw total energies = 0.176 eV per atom
electronic total energy = -13.310 eV/cell

Cell lengths 8.8751, 8.8751, 8.8751 Å; angles 23.38, 23.38, 23.38 degrees
Sites, in units of the cell vectors:
Tc 0.0000 0.0000 0.0000
Hg 0.7446 0.7446 0.7446
Br 0.2795 0.2795 0.2795
Br 0.4877 0.4877 0.4877

---

Here is a relaxed TcHgBr2 crystal from Alexandria. Energies are from PBE-GGA.

Properties
spin magnetization = 1.34 μB/f.u.
offset from the most stable computed form = 3 kJ/mol of formula units
formation energy from raw total energies = 0.072 eV per atom
electronic total energy = -13.724 eV/cell

Cell lengths 4.6968, 3.2690, 7.7610 Å; angles 90.00, 107.34, 90.00 degrees
Sites, in units of the cell vectors:
Tc 0.0000 0.0000 0.0000
Hg 0.5255 0.5000 0.0517
Br 0.1625 0.0000 0.3303
Br 0.8712 0.5000 0.7382

---

Here is a relaxed TcHg2Br crystal from Alexandria. Energies are from PBE-GGA.

Properties
spin magnetization = 2.03 μB/f.u.
offset from the most stable computed form = 238 kJ/mol of formula units
formation energy from raw total energies = 0.939 eV per atom
electronic total energy = -8.888 eV/cell

Cell lengths 5.0352, 5.0352, 5.0352 Å; angles 60.00, 60.00, 60.00 degrees
Sites, in units of the cell vectors:
Tc 0.0000 0.0000 0.0000
Hg 0.2500 0.2500 0.2500
Hg 0.7500 0.7500 0.7500
Br 0.5000 0.5000 0.5000

---

spin magnetization of number 2 (Tb2HgBr2)? 0.00 μB/f.u.